Record 1
The following is a SCAN calculation of a crystal of PbBr relaxed with PBEsol, from the Alexandria database.

Calculated values
VASP energy: -47.790 eV per atom
Calculated volume: 27.44 Å³/atom
Symmetry: Fd-3m, No. 227
Crystal system: cubic

Lattice parameters (Å, degrees): 5.375 5.375 5.375 60.00 60.00 60.00
Positions (direct):
Pb  0.125  0.125  0.125
Pb  0.875  0.875  0.875
Br  0.375  0.375  0.375
Br  0.625  0.625  0.625

---

Record 2
The following is a SCAN calculation of a crystal of CdHgRh2 relaxed with PBEsol, from the Alexandria database.

Calculated values
VASP energy: -41.343 eV per atom
ΔE_f: 0.188 eV per atom
Calculated volume: 16.51 Å³/atom
Symmetry: R3m, No. 160
Crystal system: trigonal

Lattice parameters (Å, degrees): 9.420 9.420 9.420 17.51 17.51 17.51
Positions (direct):
Cd  0.000  0.000  0.000
Hg  0.762  0.762  0.762
Rh  0.251  0.251  0.251
Rh  0.513  0.513  0.513

---

Record 3
The following is a SCAN calculation of a crystal of PbCl relaxed with PBEsol, from the Alexandria database.

Calculated values
VASP energy: -42.391 eV per atom
Calculated volume: 27.59 Å³/atom
Symmetry: Cmme, No. 67
Crystal system: orthorhombic

Lattice parameters (Å, degrees): 3.489 3.489 10.160 90.00 90.00 116.84
Positions (direct):
Pb  0.250  0.750  0.844
Pb  0.750  0.250  0.156
Cl  0.250  0.750  0.354
Cl  0.750  0.250  0.646

---

Record 4
The following is a SCAN calculation of a crystal of TaSi2Tc relaxed with PBEsol, from the Alexandria database.

Calculated values
VASP energy: -30.808 eV per atom
Energy relative to the lowest polymorph listed for this composition: 0.437 eV/f.u.
Calculated volume: 13.96 Å³/atom
Symmetry: P4/mmm, No. 123
Crystal system: tetragonal

Lattice parameters (Å, degrees): 2.946 2.946 6.431 90.00 90.00 90.00
Positions (direct):
Ta  0.000  0.000  0.000
Si  0.500  0.500  0.285
Si  0.500  0.500  0.715
Tc  0.000  0.000  0.500

---

Record 5
The following is a SCAN calculation of a crystal of BaNaZr3 relaxed with PBEsol, from the Alexandria database.

Calculated values
VASP energy: -25.823 eV per atom
ΔE_f: 1.349 eV per atom
Calculated volume: 28.50 Å³/atom
Symmetry: Pm-3m, No. 221
Crystal system: cubic

Lattice parameters (Å, degrees): 5.223 5.223 5.223 90.00 90.00 90.00
Positions (direct):
Ba  0.000  0.000  0.000
Na  0.500  0.500  0.500
Zr  0.000  0.500  0.500
Zr  0.500  0.000  0.500
Zr  0.500  0.500  0.000

---

Record 6
The following is a SCAN calculation of a crystal of La2RuSe relaxed with PBEsol, from the Alexandria database.

Calculated values
VASP energy: -36.215 eV per atom
Calculated volume: 23.07 Å³/atom
Symmetry: C2/m, No. 12
Crystal system: monoclinic

Lattice parameters (Å, degrees): 5.122 5.122 3.517 90.07 90.07 90.00
Positions (direct):
La  0.000  0.500  0.000
La  0.500  0.000  0.000
Ru  0.000  0.000  0.500
Se  0.500  0.500  0.500

---

Record 7
The following is a SCAN calculation of a crystal of Y3Zr relaxed with PBEsol, from the Alexandria database.

Calculated values
VASP energy: -28.482 eV per atom
ΔE_f: 0.075 eV per atom
Energy relative to the lowest polymorph listed for this composition: 0.000 eV/f.u.
Calculated volume: 28.36 Å³/atom
Symmetry: P-6m2, No. 187
Crystal system: hexagonal

Lattice parameters (Å, degrees): 3.461 3.461 10.937 90.00 90.00 120.00
Positions (direct):
Y  0.000  0.000  0.000
Y  0.333  0.667  0.264
Y  0.333  0.667  0.736
Zr  0.000  0.000  0.500

---

Record 8
The following is a SCAN calculation of a crystal of Be2Ni relaxed with PBEsol, from the Alexandria database.

Calculated values
VASP energy: -8.683 eV per atom
ΔE_f: -0.389 eV per atom
Calculated volume: 8.40 Å³/atom
Symmetry: I4/mmm, No. 139
Crystal system: tetragonal

Lattice parameters (Å, degrees): 4.163 4.163 4.163 143.65 143.65 52.35
Positions (direct):
Be  0.168  0.168  0.000
Be  0.832  0.832  0.000
Ni  0.500  0.500  0.000

---

Record 9
The following is a SCAN calculation of a crystal of LiP5W3O19 relaxed with PBEsol, from the Alexandria database.

Calculated values
VASP energy: -15.837 eV per atom
Calculated volume: 15.22 Å³/atom
Symmetry: Cm, No. 8
Crystal system: monoclinic

Lattice parameters (Å, degrees): 8.629 8.629 6.471 99.71 99.71 111.90
Positions (direct):
Li  0.000  0.000  0.000
P  0.166  0.796  0.714
P  0.311  0.311  0.396
P  0.381  0.676  0.984
P  0.676  0.381  0.984
P  0.796  0.166  0.714
W  0.228  0.228  0.851
W  0.490  0.742  0.534
W  0.742  0.490  0.534
O  0.143  0.961  0.799
O  0.208  0.208  0.537
O  0.209  0.209  0.159
O  0.241  0.754  0.932
O  0.282  0.481  0.923
O  0.292  0.815  0.571
O  0.314  0.493  0.438
O  0.464  0.755  0.224
O  0.481  0.282  0.923
O  0.493  0.314  0.438
O  0.513  0.741  0.852
O  0.648  0.993  0.608
O  0.657  0.657  0.526
O  0.741  0.513  0.852
O  0.754  0.241  0.932
O  0.755  0.464  0.224
O  0.815  0.292  0.571
O  0.961  0.143  0.799
O  0.993  0.648  0.608

---

Record 10
The following is a SCAN calculation of a crystal of FeBO2F relaxed with PBEsol, from the Alexandria database.

Calculated values
VASP energy: -8.631 eV per atom
Calculated volume: 10.32 Å³/atom
Symmetry: P4/mmm, No. 123
Crystal system: tetragonal

Lattice parameters (Å, degrees): 3.649 3.649 3.874 90.00 90.00 90.00
Positions (direct):
Fe  0.000  0.000  0.000
B  0.500  0.500  0.500
O  0.000  0.500  0.000
O  0.500  0.000  0.000
F  0.000  0.000  0.500

---

Record 11
The following is a SCAN calculation of a crystal of TePb2Se relaxed with PBEsol, from the Alexandria database.

Calculated values
VASP energy: -52.098 eV per atom
Energy relative to the lowest polymorph listed for this composition: 2.369 eV/f.u.
Calculated volume: 26.79 Å³/atom
Symmetry: F-43m, No. 216
Crystal system: cubic

Lattice parameters (Å, degrees): 5.332 5.332 5.332 60.00 60.00 60.00
Positions (direct):
Te  0.000  0.000  0.000
Pb  0.250  0.250  0.250
Pb  0.500  0.500  0.500
Se  0.750  0.750  0.750

---

Record 12
The following is a SCAN calculation of a crystal of CrCoTe2 relaxed with PBEsol, from the Alexandria database.

Calculated values
VASP energy: -27.210 eV per atom
Energy relative to the lowest polymorph listed for this composition: 2.047 eV/f.u.
Calculated volume: 17.42 Å³/atom
Symmetry: P4/mmm, No. 123
Crystal system: tetragonal

Lattice parameters (Å, degrees): 4.624 4.624 3.260 90.00 90.00 90.00
Positions (direct):
Cr  0.000  0.000  0.000
Co  0.500  0.500  0.000
Te  0.000  0.500  0.500
Te  0.500  0.000  0.500

---

Record 13
The following is a SCAN calculation of a crystal of MgBeAl2Pt relaxed with PBEsol, from the Alexandria database.

Calculated values
VASP energy: -19.063 eV per atom
ΔE_f: -0.058 eV per atom
Calculated volume: 15.97 Å³/atom
Symmetry: P4/mmm, No. 123
Crystal system: tetragonal

Lattice parameters (Å, degrees): 4.302 4.302 4.317 90.00 90.00 90.00
Positions (direct):
Mg  0.000  0.000  0.000
Be  0.500  0.500  0.500
Al  0.000  0.500  0.500
Al  0.500  0.000  0.500
Pt  0.500  0.500  0.000

---

Record 14
The following is a SCAN calculation of a crystal of BeH3Pd relaxed with PBEsol, from the Alexandria database.

Calculated values
VASP energy: -9.024 eV per atom
Energy relative to the lowest polymorph listed for this composition: 0.000 eV/f.u.
Calculated volume: 6.52 Å³/atom
Symmetry: Pm-3m, No. 221
Crystal system: cubic

Lattice parameters (Å, degrees): 3.194 3.194 3.194 90.00 90.00 90.00
Positions (direct):
Be  0.000  0.000  0.000
H  0.000  0.000  0.500
H  0.000  0.500  0.000
H  0.500  0.000  0.000
Pd  0.500  0.500  0.500

---

Record 15
The following is a SCAN calculation of a crystal of YNbReI2 relaxed with PBEsol, from the Alexandria database.

Calculated values
VASP energy: -39.270 eV per atom
Calculated volume: 35.76 Å³/atom
Symmetry: P4/mmm, No. 123
Crystal system: tetragonal

Lattice parameters (Å, degrees): 5.628 5.628 5.645 90.00 90.00 90.00
Positions (direct):
Y  0.000  0.000  0.000
Nb  0.000  0.000  0.500
Re  0.500  0.500  0.500
I  0.000  0.500  0.000
I  0.500  0.000  0.000

---

Record 16
The following is a SCAN calculation of a crystal of SrNiF2 relaxed with PBEsol, from the Alexandria database.

Calculated values
VASP energy: -12.910 eV per atom
Calculated volume: 17.44 Å³/atom
Symmetry: R-3m, No. 166
Crystal system: trigonal

Lattice parameters (Å, degrees): 6.216 6.216 6.216 34.78 34.78 34.78
Positions (direct):
Sr  0.000  0.000  0.000
Ni  0.500  0.500  0.500
F  0.130  0.130  0.130
F  0.870  0.870  0.870

---

Record 17
The following is a SCAN calculation of a crystal of BaMgIn2 relaxed with PBEsol, from the Alexandria database.

Calculated values
VASP energy: -28.139 eV per atom
ΔE_f: -0.315 eV per atom
Calculated volume: 29.96 Å³/atom
Symmetry: Amm2, No. 38
Crystal system: orthorhombic

Lattice parameters (Å, degrees): 4.835 7.085 7.085 29.59 90.00 90.00
Positions (direct):
Ba  0.000  0.000  0.000
Mg  0.500  0.684  0.684
In  0.000  0.253  0.253
In  0.500  0.378  0.378

---

Record 18
The following is a SCAN calculation of a crystal of TiCrCu2Cl relaxed with PBEsol, from the Alexandria database.

Calculated values
VASP energy: -13.596 eV per atom
Calculated volume: 17.39 Å³/atom
Symmetry: P4/mmm, No. 123
Crystal system: tetragonal

Lattice parameters (Å, degrees): 4.512 4.512 4.271 90.00 90.00 90.00
Positions (direct):
Ti  0.000  0.000  0.000
Cr  0.000  0.000  0.500
Cu  0.000  0.500  0.500
Cu  0.500  0.000  0.500
Cl  0.500  0.500  0.000

---

Record 19
The following is a SCAN calculation of a crystal of BaSr2Y relaxed with PBEsol, from the Alexandria database.

Calculated values
VASP energy: -27.770 eV per atom
ΔE_f: 0.216 eV per atom
Energy relative to the lowest polymorph listed for this composition: 0.176 eV/f.u.
Calculated volume: 44.87 Å³/atom
Symmetry: Fm-3m, No. 225
Crystal system: cubic

Lattice parameters (Å, degrees): 6.331 6.331 6.331 60.00 60.00 60.00
Positions (direct):
Ba  0.000  0.000  0.000
Sr  0.250  0.250  0.250
Sr  0.750  0.750  0.750
Y  0.500  0.500  0.500

---

Record 20
The following is a SCAN calculation of a crystal of CuIr2Os relaxed with PBEsol, from the Alexandria database.

Calculated values
VASP energy: -56.877 eV per atom
ΔE_f: 0.442 eV per atom
Energy relative to the lowest polymorph listed for this composition: 1.604 eV/f.u.
Calculated volume: 13.86 Å³/atom
Symmetry: Fm-3m, No. 225
Crystal system: cubic

Lattice parameters (Å, degrees): 4.280 4.280 4.280 60.00 60.00 60.00
Positions (direct):
Cu  0.000  0.000  0.000
Ir  0.250  0.250  0.250
Ir  0.750  0.750  0.750
Os  0.500  0.500  0.500

---

Record 21
The following is a SCAN calculation of a crystal of ScAlO3 relaxed with PBEsol, from the Alexandria database.

Calculated values
VASP energy: -11.759 eV per atom
Calculated volume: 9.27 Å³/atom
Symmetry: Pnma, No. 62
Crystal system: orthorhombic

Lattice parameters (Å, degrees): 5.227 7.205 4.926 90.00 90.00 90.00
Positions (direct):
Sc  0.070  0.250  0.022
Sc  0.430  0.750  0.522
Sc  0.570  0.250  0.478
Sc  0.930  0.750  0.978
Al  0.000  0.000  0.500
Al  0.000  0.500  0.500
Al  0.500  0.000  0.000
Al  0.500  0.500  0.000
O  0.045  0.750  0.378
O  0.194  0.562  0.809
O  0.194  0.938  0.809
O  0.306  0.062  0.309
O  0.306  0.438  0.309
O  0.455  0.250  0.878
O  0.545  0.750  0.122
O  0.694  0.562  0.691
O  0.694  0.938  0.691
O  0.806  0.062  0.191
O  0.806  0.438  0.191
O  0.955  0.250  0.622

---

Record 22
The following is a SCAN calculation of a crystal of AlCNO2 relaxed with PBEsol, from the Alexandria database.

Calculated values
VASP energy: -7.494 eV per atom
Calculated volume: 7.90 Å³/atom
Symmetry: P4/mmm, No. 123
Crystal system: tetragonal

Lattice parameters (Å, degrees): 3.918 3.918 2.572 90.00 90.00 90.00
Positions (direct):
Al  0.000  0.000  0.000
C  0.500  0.500  0.500
N  0.500  0.500  0.000
O  0.000  0.500  0.500
O  0.500  0.000  0.500

---

Record 23
The following is a SCAN calculation of a crystal of SrCd3Bi relaxed with PBEsol, from the Alexandria database.

Calculated values
VASP energy: -38.202 eV per atom
ΔE_f: 0.217 eV per atom
Energy relative to the lowest polymorph listed for this composition: 0.000 eV/f.u.
Calculated volume: 36.25 Å³/atom
Symmetry: Pm-3m, No. 221
Crystal system: cubic

Lattice parameters (Å, degrees): 5.659 5.659 5.659 90.00 90.00 90.00
Positions (direct):
Sr  0.000  0.000  0.000
Cd  0.000  0.500  0.500
Cd  0.500  0.000  0.500
Cd  0.500  0.500  0.000
Bi  0.500  0.500  0.500

---

Record 24
The following is a SCAN calculation of a crystal of BaYOs3 relaxed with PBEsol, from the Alexandria database.

Calculated values
VASP energy: -54.364 eV per atom
ΔE_f: 2.243 eV per atom
Calculated volume: 24.43 Å³/atom
Symmetry: Pm-3m, No. 221
Crystal system: cubic

Lattice parameters (Å, degrees): 4.962 4.962 4.962 90.00 90.00 90.00
Positions (direct):
Ba  0.000  0.000  0.000
Y  0.500  0.500  0.500
Os  0.000  0.500  0.500
Os  0.500  0.000  0.500
Os  0.500  0.500  0.000

---

Record 25
The following is a SCAN calculation of a crystal of ZrTaCr2Rh relaxed with PBEsol, from the Alexandria database.

Calculated values
VASP energy: -32.181 eV per atom
ΔE_f: 1.383 eV per atom
Calculated volume: 19.92 Å³/atom
Symmetry: P4/mmm, No. 123
Crystal system: tetragonal

Lattice parameters (Å, degrees): 4.469 4.469 4.986 90.00 90.00 90.00
Positions (direct):
Zr  0.000  0.000  0.000
Ta  0.000  0.000  0.500
Cr  0.000  0.500  0.500
Cr  0.500  0.000  0.500
Rh  0.500  0.500  0.000

---

Record 26
The following is a SCAN calculation of a crystal of AsBr2Cl relaxed with PBEsol, from the Alexandria database.

Calculated values
VASP energy: -16.315 eV per atom
Energy relative to the lowest polymorph listed for this composition: 3.778 eV/f.u.
Calculated volume: 21.01 Å³/atom
Symmetry: F-43m, No. 216
Crystal system: cubic

Lattice parameters (Å, degrees): 4.916 4.916 4.916 60.00 60.00 60.00
Positions (direct):
As  0.000  0.000  0.000
Br  0.500  0.500  0.500
Br  0.750  0.750  0.750
Cl  0.250  0.250  0.250

---

Record 27
The following is a SCAN calculation of a crystal of BeIBr2 relaxed with PBEsol, from the Alexandria database.

Calculated values
VASP energy: -19.163 eV per atom
Energy relative to the lowest polymorph listed for this composition: 4.994 eV/f.u.
Calculated volume: 23.98 Å³/atom
Symmetry: Fm-3m, No. 225
Crystal system: cubic

Lattice parameters (Å, degrees): 5.138 5.138 5.138 60.00 60.00 60.00
Positions (direct):
Be  0.000  0.000  0.000
I  0.500  0.500  0.500
Br  0.250  0.250  0.250
Br  0.750  0.750  0.750

---

Record 28
The following is a SCAN calculation of a crystal of Y5Zn relaxed with PBEsol, from the Alexandria database.

Calculated values
VASP energy: -25.571 eV per atom
ΔE_f: -0.116 eV per atom
Energy relative to the lowest polymorph listed for this composition: 0.016 eV/f.u.
Calculated volume: 27.97 Å³/atom
Symmetry: Cm, No. 8
Crystal system: monoclinic

Lattice parameters (Å, degrees): 6.285 6.285 8.366 111.63 111.63 33.38
Positions (direct):
Y  0.000  0.000  0.000
Y  0.029  0.029  0.432
Y  0.306  0.306  0.157
Y  0.335  0.335  0.590
Y  0.668  0.668  0.795
Zn  0.668  0.668  0.295